Entry from Alexandria: an optimized crystal structure of Ti2MoPd (PBEsol).

Structure (CIF):
```
data_Ti2MoPd
_chemical_formula_sum 'Ti8 Mo4 Pd4'
_symmetry_space_group_name_H-M 'F m -3 m'
_symmetry_Int_Tables_number 225
_symmetry_space_group_name_Hall '-F 4 2 3'
_cell_length_a 6.210
_cell_length_b 6.210
_cell_length_c 6.210
_cell_angle_alpha 90.00
_cell_angle_beta 90.00
_cell_angle_gamma 90.00
loop_
_atom_site_label
_atom_site_fract_x
_atom_site_fract_y
_atom_site_fract_z
Ti1 0.250 0.250 0.250
Mo1 0.000 0.000 0.000
Pd1 0.000 0.000 0.500
```

E, eV/atom: -8.995
Energy of formation, eV per atom: -0.40
Crystal system: cubic
Size of the total moment, μB/atom: 0.0000

***

Entry from Alexandria: an optimized crystal structure of BaTaSe2 (PBEsol).

Structure (CIF):
```
data_BaTaSe2
_chemical_formula_sum 'Ba2 Ta2 Se4'
_symmetry_space_group_name_H-M 'I -4 m 2'
_symmetry_Int_Tables_number 119
_symmetry_space_group_name_Hall 'I -4 -2'
_cell_length_a 4.194
_cell_length_b 4.194
_cell_length_c 11.724
_cell_angle_alpha 90.00
_cell_angle_beta 90.00
_cell_angle_gamma 90.00
loop_
_atom_site_label
_atom_site_fract_x
_atom_site_fract_y
_atom_site_fract_z
Ba1 0.000 0.000 0.000
Ta1 0.000 0.500 0.750
Se1 0.000 0.000 0.500
Se2 0.000 0.500 0.250
```

E, eV/atom: -5.549
Raw formation energy, eV per atom: 0.05
Crystal system: tetragonal
Size of the total moment, μB/atom: 0.6903
Offset from the most stable computed form, meV per atom: 846

***

Entry from Alexandria: an optimized crystal structure of Hf3CdC (PBEsol).

Structure (CIF):
```
data_Hf3CdC
_chemical_formula_sum 'Hf3 Cd1 C1'
_symmetry_space_group_name_H-M 'P m -3 m'
_symmetry_Int_Tables_number 221
_symmetry_space_group_name_Hall '-P 4 2 3'
_cell_length_a 4.460
_cell_length_b 4.460
_cell_length_c 4.460
_cell_angle_alpha 90.00
_cell_angle_beta 90.00
_cell_angle_gamma 90.00
loop_
_atom_site_label
_atom_site_fract_x
_atom_site_fract_y
_atom_site_fract_z
Hf1 0.000 0.000 0.500
Cd1 0.500 0.500 0.500
C1 0.000 0.000 0.000
```

E, eV/atom: -8.936
Energy of formation, eV per atom: -0.47
Crystal system: cubic
Size of the total moment, μB/atom: 0.0000

***

Entry from Alexandria: an optimized crystal structure of AlAgCl2 (PBEsol).

Structure (CIF):
```
data_AlAgCl2
_chemical_formula_sum 'Al4 Ag4 Cl8'
_symmetry_space_group_name_H-M 'F -4 3 m'
_symmetry_Int_Tables_number 216
_symmetry_space_group_name_Hall 'F -4 2 3'
_cell_length_a 6.810
_cell_length_b 6.810
_cell_length_c 6.810
_cell_angle_alpha 90.00
_cell_angle_beta 90.00
_cell_angle_gamma 90.00
loop_
_atom_site_label
_atom_site_fract_x
_atom_site_fract_y
_atom_site_fract_z
Al1 0.000 0.000 0.000
Ag1 0.250 0.250 0.750
Cl1 0.000 0.000 0.500
Cl2 0.250 0.250 0.250
```

E, eV/atom: -2.855
Raw formation energy, eV per atom: 0.00
Crystal system: cubic
Size of the total moment, μB/atom: 0.0000
Offset from the most stable computed form, meV per atom: 624

***

Entry from Alexandria: an optimized crystal structure of BaY2Tl (PBEsol).

Structure (CIF):
```
data_BaY2Tl
_chemical_formula_sum 'Ba4 Y8 Tl4'
_symmetry_space_group_name_H-M 'F -4 3 m'
_symmetry_Int_Tables_number 216
_symmetry_space_group_name_Hall 'F -4 2 3'
_cell_length_a 8.001
_cell_length_b 8.001
_cell_length_c 8.001
_cell_angle_alpha 90.00
_cell_angle_beta 90.00
_cell_angle_gamma 90.00
loop_
_atom_site_label
_atom_site_fract_x
_atom_site_fract_y
_atom_site_fract_z
Ba1 0.000 0.000 0.000
Y1 0.000 0.000 0.500
Y2 0.250 0.250 0.250
Tl1 0.250 0.250 0.750
```

E, eV/atom: -4.555
Energy of formation, eV per atom: 0.05
Crystal system: cubic
Size of the total moment, μB/atom: 0.1476
Offset from the most stable computed form, meV per atom: 75

***

Entry from Alexandria: an optimized crystal structure of Y2TaTe (PBEsol).

Structure (CIF):
```
data_Y2TaTe
_chemical_formula_sum 'Y4 Ta2 Te2'
_symmetry_space_group_name_H-M 'C 1 m 1'
_symmetry_Int_Tables_number 8
_symmetry_space_group_name_Hall 'C -2y'
_cell_length_a 11.222
_cell_length_b 3.424
_cell_length_c 5.329
_cell_angle_alpha 90.00
_cell_angle_beta 106.43
_cell_angle_gamma 90.00
loop_
_atom_site_label
_atom_site_fract_x
_atom_site_fract_y
_atom_site_fract_z
Y1 0.000 0.000 0.000
Y2 0.209 0.000 0.652
Ta1 0.453 0.000 0.478
Te1 0.261 0.500 0.182
```

E, eV/atom: -7.617
Raw formation energy, eV per atom: -0.19
Crystal system: monoclinic
Size of the total moment, μB/atom: 0.0005

***

Entry from Alexandria: an optimized crystal structure of Cd2InAg (PBEsol).

Structure (CIF):
```
data_Cd2InAg
_chemical_formula_sum 'Cd4 In2 Ag2'
_symmetry_space_group_name_H-M 'I m m m'
_symmetry_Int_Tables_number 71
_symmetry_space_group_name_Hall '-I 2 2'
_cell_length_a 2.931
_cell_length_b 4.970
_cell_length_c 11.502
_cell_angle_alpha 90.00
_cell_angle_beta 90.00
_cell_angle_gamma 90.00
loop_
_atom_site_label
_atom_site_fract_x
_atom_site_fract_y
_atom_site_fract_z
Cd1 0.000 0.000 0.220
In1 0.000 0.500 0.000
Ag1 0.000 0.500 0.500
```

E, eV/atom: -2.169
Energy of formation, eV per atom: 0.00
Crystal system: orthorhombic
Size of the total moment, μB/atom: 0.0000

***

Entry from Alexandria: an optimized crystal structure of CrCu2W (PBEsol).

Structure (CIF):
```
data_CrCu2W
_chemical_formula_sum 'Cr1 Cu2 W1'
_symmetry_space_group_name_H-M 'P m m m'
_symmetry_Int_Tables_number 47
_symmetry_space_group_name_Hall '-P 2 2'
_cell_length_a 2.523
_cell_length_b 4.002
_cell_length_c 4.932
_cell_angle_alpha 90.00
_cell_angle_beta 90.00
_cell_angle_gamma 90.00
loop_
_atom_site_label
_atom_site_fract_x
_atom_site_fract_y
_atom_site_fract_z
Cr1 0.000 0.000 0.000
Cu1 0.500 0.500 0.244
W1 0.000 0.000 0.500
```

E, eV/atom: -7.818
Energy of formation, eV per atom: 0.36
Crystal system: orthorhombic
Size of the total moment, μB/atom: 0.0020

***

Entry from Alexandria: an optimized crystal structure of ZrNi2Te (PBEsol).

Structure (CIF):
```
data_ZrNi2Te
_chemical_formula_sum 'Zr2 Ni4 Te2'
_symmetry_space_group_name_H-M 'C 1 m 1'
_symmetry_Int_Tables_number 8
_symmetry_space_group_name_Hall 'C -2y'
_cell_length_a 6.924
_cell_length_b 4.026
_cell_length_c 5.301
_cell_angle_alpha 90.00
_cell_angle_beta 116.16
_cell_angle_gamma 90.00
loop_
_atom_site_label
_atom_site_fract_x
_atom_site_fract_y
_atom_site_fract_z
Zr1 0.000 0.000 0.000
Ni1 0.022 0.500 0.566
Ni2 0.244 0.000 0.734
Te1 0.297 0.500 0.390
```

E, eV/atom: -6.529
Raw formation energy, eV per atom: -0.30
Crystal system: monoclinic
Size of the total moment, μB/atom: 0.0000

***

Entry from Alexandria: an optimized crystal structure of La2CdCo (PBEsol).

Structure (CIF):
```
data_La2CdCo
_chemical_formula_sum 'La6 Cd3 Co3'
_symmetry_space_group_name_H-M 'R -3 m'
_symmetry_Int_Tables_number 166
_symmetry_space_group_name_Hall '-R 3 2"'
_cell_length_a 3.8826
_cell_length_b 3.8826
_cell_length_c 24.6740
_cell_angle_alpha 90.00
_cell_angle_beta 90.00
_cell_angle_gamma 120.00
loop_
_atom_site_label
_atom_site_fract_x
_atom_site_fract_y
_atom_site_fract_z
La1 0.0000 0.0000 0.2295
Cd1 0.0000 0.0000 0.0000
Co1 0.0000 0.0000 0.5000
```

E, eV/atom: -5.011
Energy of formation, eV per atom: -0.10
Crystal system: trigonal
Size of the total moment, μB/atom: 0.0000

***

Entry from Alexandria: an optimized crystal structure of SrCrAgBr2 (PBEsol).

Structure (CIF):
```
data_SrCrAgBr2
_chemical_formula_sum 'Sr1 Cr1 Ag1 Br2'
_symmetry_space_group_name_H-M 'P 4/m m m'
_symmetry_Int_Tables_number 123
_symmetry_space_group_name_Hall '-P 4 2'
_cell_length_a 5.620
_cell_length_b 5.620
_cell_length_c 6.918
_cell_angle_alpha 90.00
_cell_angle_beta 90.00
_cell_angle_gamma 90.00
loop_
_atom_site_label
_atom_site_fract_x
_atom_site_fract_y
_atom_site_fract_z
Sr1 0.000 0.000 0.000
Cr1 0.000 0.000 0.500
Ag1 0.500 0.500 0.500
Br1 0.000 0.500 0.000
```

E, eV/atom: -3.547
Raw formation energy, eV per atom: 0.28
Crystal system: tetragonal
Size of the total moment, μB/atom: 1.0200

***

Entry from Alexandria: an optimized crystal structure of YTlIn2 (PBEsol).

Structure (CIF):
```
data_YTlIn2
_chemical_formula_sum 'Y2 Tl2 In4'
_symmetry_space_group_name_H-M 'C m m 2'
_symmetry_Int_Tables_number 35
_symmetry_space_group_name_Hall 'C 2 -2'
_cell_length_a 3.705
_cell_length_b 5.628
_cell_length_c 10.084
_cell_angle_alpha 90.00
_cell_angle_beta 90.00
_cell_angle_gamma 90.00
loop_
_atom_site_label
_atom_site_fract_x
_atom_site_fract_y
_atom_site_fract_z
Y1 0.000 0.000 0.000
Tl1 0.000 0.500 0.257
In1 0.000 0.000 0.506
In2 0.000 0.500 0.748
```

E, eV/atom: -3.937
Energy of formation, eV per atom: -0.08
Crystal system: orthorhombic
Size of the total moment, μB/atom: 0.0001